[1]
Below is an optimized crystal structure of Sc4CoPt2, with properties calculated at the PBE-GGA level.

a b c (Å): 4.558 4.558 7.858
angles (deg): 73.14 73.14 60.00
Positions (direct):
1 Sc 0.125 0.125 0.626
2 Sc 0.624 0.624 0.127
3 Sc 0.376 0.376 0.873
4 Pt 0.251 0.251 0.246
5 Pt 0.749 0.749 0.754
6 Co 0.000 0.000 0.000
7 Sc 0.875 0.875 0.374

* E: -50.68 eV per cell
* ΔE_f: -0.881 eV per atom
* space-group type: R-3m, No. 166

---

[2]
Below is an optimized crystal structure of Sc6CoPt5, with properties calculated at the PBE-GGA level.

a b c (Å): 4.652 6.483 7.355
angles (deg): 90.00 71.56 90.00
Positions (direct):
1 Sc 0.500 0.755 0.000
2 Sc 0.500 0.245 0.000
3 Pt 0.000 0.500 0.000
4 Sc 0.163 0.247 0.674
5 Sc 0.837 0.247 0.326
6 Sc 0.163 0.753 0.674
7 Pt 0.330 0.500 0.340
8 Pt 0.664 0.000 0.672
9 Pt 0.670 0.500 0.660
10 Co 0.000 0.000 0.000
11 Pt 0.336 0.000 0.328
12 Sc 0.837 0.753 0.326

* E: -88.46 eV per cell
* ΔE_f: -1.097 eV per atom
* space-group type: Cmmm, No. 65

---

[3]
Below is an optimized crystal structure of ScCoPt2, with properties calculated at the PBE-GGA level.

a b c (Å): 3.882 3.882 9.315
angles (deg): 77.97 77.97 90.00
Positions (direct):
1 Pt 0.375 0.360 0.750
2 Co 0.750 0.250 0.500
3 Pt 0.640 0.125 0.250
4 Co 0.000 0.000 0.000
5 Sc 0.500 0.500 0.000
6 Pt 0.875 0.890 0.750
7 Sc 0.250 0.750 0.500
8 Pt 0.110 0.625 0.250

* E: -53.45 eV per cell
* ΔE_f: -0.302 eV per atom
* space-group type: I-42d, No. 122

---

[4]
Below is an optimized crystal structure of ScCo3Pt, with properties calculated at the PBE-GGA level.

a b c (Å): 4.282 4.282 4.282
angles (deg): 90.00 90.00 90.00
Positions (direct):
1 Co 0.000 0.000 0.500
2 Co 0.000 0.500 0.000
3 Co 0.500 0.000 0.000
4 Pt 0.500 0.500 0.500
5 Sc 0.000 0.000 0.000

* E: -27.54 eV per cell
* ΔE_f: 1.229 eV per atom
* polymorph energy (0 for the lowest one): 0.4424 eV per atom
* space-group type: Pm-3m, No. 221

---

| no. | DOS at the Fermi energy (states/eV/f.u.) |
| --- | --- |
| 1 | 2.7 |
| 2 | 5.7 |
| 3 | 4.9 |
| 4 | 5.2 |